(1)
The following is a DFT calculation (PBE) of a relaxed AcPmZnCu crystal.

Summary:
Formation enthalpy at 0 K = -64 kJ/mol of formula units
Size of the total moment = 0.00 μB per cell
Energy relative to the lowest polymorph listed for this composition = 0.026 eV/atom

a b c (Å): 7.497 7.497 7.497
angles (deg): 90.00 90.00 90.00
Space group F-43m (No. 216)
One atom of each set of equivalent atoms:
Ac  0.000  0.000  0.000
Pm  0.000  0.000  0.500
Zn  0.250  0.250  0.750
Cu  0.250  0.250  0.250



(2)
The following is a DFT calculation (PBE) of a relaxed AcPr2Cu crystal.

Summary:
Formation enthalpy at 0 K = -13 kJ/mol of formula units
Size of the total moment = 0.00 μB per cell
Energy relative to the lowest polymorph listed for this composition = 0.011 eV/atom

a b c (Å): 3.736 3.736 9.098
angles (deg): 90.00 90.00 90.00
Space group P4/mmm (No. 123)
One atom of each set of equivalent atoms:
Ac  0.000  0.000  0.000
Pr  0.500  0.500  0.312
Cu  0.000  0.000  0.500



What is the formula in the first record? AcPmZnCu